No. 1
Material: Sc2SiIr
Method: DFT, PBE
State: relaxed

It has space group Cmmm (No. 65), with a = 6.055 Å, b = 7.350 Å, c = 3.082 Å, α = 90.00°, β = 90.00° and γ = 90.00°. The inequivalent atoms are Sc at (0.250, 0.250, 0.000), Si at (0.000, 0.000, 0.500) and Ir at (0.000, 0.500, 0.500).



No. 2
Material: LiThRh
Method: DFT, PBE
State: relaxed

As for the formation energy: -56.8 kJ/mol of atoms.

It has space group P2_1/m (No. 11), with a = 7.295 Å, b = 3.961 Å, c = 12.672 Å, α = 90.00°, β = 90.92° and γ = 90.00°. The inequivalent atoms are Li at (0.015, 0.250, 0.079), Li at (0.121, 0.750, 0.536), Li at (0.379, 0.250, 0.196), Th at (0.058, 0.750, 0.287), Th at (0.328, 0.250, 0.920), Th at (0.448, 0.250, 0.626), Rh at (0.233, 0.750, 0.751), Rh at (0.270, 0.250, 0.412) and Rh at (0.272, 0.750, 0.075).



No. 3
Material: Ac6Te2Ir3I
Method: DFT, PBE
State: relaxed

It has space group C2/m (No. 12), with a = 20.648 Å, b = 4.419 Å, c = 9.588 Å, α = 90.00°, β = 109.89° and γ = 90.00°. The inequivalent atoms are Ac at (0.011, 0.000, 0.216), Ac at (0.158, 0.500, 0.105), Ac at (0.180, 0.500, 0.559), Te at (0.164, 0.000, 0.826), Ir at (0.000, 0.500, 0.000), Ir at (0.166, 0.000, 0.332) and I at (0.000, 0.500, 0.500).



| no. | energy (eV per atom) |
| --- | --- |
| 1 | -7.506 |
| 2 | -6.151 |
| 3 | -6.005 |